Entry 1:
Crystalline SrNd3Fe at its relaxed geometry, computed with PBE.

Output
VASP energy, hartree per atom: -0.17438

Cell: 5.544 5.544 5.544 Å, 90.00 90.00 90.00°
Space group Pm-3m (No. 221)
Unique sites:
1 Sr 0.000 0.000 0.000 [1 per cell]
2 Nd 0.000 0.500 0.500 [3 per cell]
3 Fe 0.500 0.500 0.500 [1 per cell]

Entry 2:
Crystalline Tb3NdFe at its relaxed geometry, computed with PBE.

Output
VASP energy, hartree per atom: -0.19489

Cell: 5.316 5.316 5.316 Å, 90.00 90.00 90.00°
Space group Pm-3m (No. 221)
Unique sites:
1 Tb 0.000 0.000 0.500 [3 per cell]
2 Nd 0.500 0.500 0.500 [1 per cell]
3 Fe 0.000 0.000 0.000 [1 per cell]

Entry 3:
Crystalline Tb3NdFe8 at its relaxed geometry, computed with PBE.

Output
VASP energy, hartree per atom: -0.26539

Cell: 5.1813 5.1813 25.3843 Å, 90.00 90.00 120.00°
Space group R3m (No. 160, hexagonal axes)
Unique sites:
1 Tb 0.0000 0.0000 0.0000 [3 per cell]
2 Tb 0.0000 0.0000 0.1246 [3 per cell]
3 Tb 0.0000 0.0000 0.6253 [3 per cell]
4 Nd 0.0000 0.0000 0.5000 [3 per cell]
5 Fe 0.0000 0.0000 0.3128 [3 per cell]
6 Fe 0.0000 0.0000 0.8118 [3 per cell]
7 Fe 0.0012 0.5006 0.5635 [9 per cell]
8 Fe 0.1676 0.3352 0.3948 [9 per cell]

Entry 4:
Crystalline TbNdFe10 at its relaxed geometry, computed with PBE.

Output
VASP energy, hartree per atom: -0.28790

Cell: 3.946 5.068 8.753 Å, 90.00 90.00 90.00°
Space group Pmmm (No. 47)
Unique sites:
1 Tb 0.000 0.000 0.000 [1 per cell]
2 Nd 0.000 0.500 0.500 [1 per cell]
3 Fe 0.000 0.000 0.330 [2 per cell]
4 Fe 0.000 0.500 0.163 [2 per cell]
5 Fe 0.500 0.000 0.500 [1 per cell]
6 Fe 0.500 0.248 0.246 [4 per cell]
7 Fe 0.500 0.500 0.000 [1 per cell]